# Y2ScPbI

An optimized crystal structure of Y2ScPbI (PBE, the Alexandria database).

```
data_Y2ScPbI
_chemical_formula_sum 'Y2 Sc1 Pb1 I1'
_cell_length_a 5.7528
_cell_length_b 5.7528
_cell_length_c 5.2536
_cell_angle_alpha 90.00
_cell_angle_beta 90.00
_cell_angle_gamma 90.00
_space_group_name_H-M_alt 'P 4/m m m'
_space_group_IT_number 123
_space_group_name_Hall '-P 4 2'
loop_
_atom_site_label
_atom_site_type_symbol
_atom_site_fract_x
_atom_site_fract_y
_atom_site_fract_z
Y1 Y 0.0000 0.5000 0.0000
Sc1 Sc 0.0000 0.0000 0.0000
Pb1 Pb 0.5000 0.5000 0.5000
I1 I 0.0000 0.0000 0.5000
```

Values from the calculation:
For the density of states at the Fermi level, the calculation gives 1.155 states/eV per atom.

***

# Pb4SeI5

An optimized crystal structure of Pb4SeI5 (PBE, the Alexandria database).

```
data_Pb4SeI5
_chemical_formula_sum 'Pb8 Se2 I10'
_cell_length_a 20.9034
_cell_length_b 4.5425
_cell_length_c 9.2569
_cell_angle_alpha 90.00
_cell_angle_beta 106.50
_cell_angle_gamma 90.00
_space_group_name_H-M_alt 'C 1 2/m 1'
_space_group_IT_number 12
_space_group_name_Hall '-C 2y'
loop_
_atom_site_label
_atom_site_type_symbol
_atom_site_fract_x
_atom_site_fract_y
_atom_site_fract_z
Pb1 Pb 0.0035 0.0000 0.2703
Pb2 Pb 0.1559 0.5000 0.5750
Se1 Se 0.0000 0.5000 0.5000
I1 I 0.0000 0.5000 0.0000
I2 I 0.1572 0.0000 0.8257
I3 I 0.1715 0.0000 0.3313
```

Values from the calculation:
For the density of states at the Fermi level, the calculation gives 0.303 states/eV per atom.

***

# Pb3Se5I12

An optimized crystal structure of Pb3Se5I12 (PBE, the Alexandria database).

```
data_Pb3Se5I12
_chemical_formula_sum 'Pb24 Se40 I96'
_cell_length_a 18.8732
_cell_length_b 18.8732
_cell_length_c 18.8732
_cell_angle_alpha 90.00
_cell_angle_beta 90.00
_cell_angle_gamma 90.00
_space_group_name_H-M_alt 'I a -3 d'
_space_group_IT_number 230
_space_group_name_Hall '-I 4bd 2c 3'
loop_
_atom_site_label
_atom_site_type_symbol
_atom_site_fract_x
_atom_site_fract_y
_atom_site_fract_z
Pb1 Pb 0.0000 0.2500 0.1250
Se1 Se 0.0000 0.0000 0.0000
Se2 Se 0.0000 0.2500 0.3750
I1 I 0.0196 0.0582 0.6526
```

Values from the calculation:
For the density of states at the Fermi level, the calculation gives 0.805 states/eV per atom.

***

# Pb2SeI2

An optimized crystal structure of Pb2SeI2 (PBE, the Alexandria database).

```
data_Pb2SeI2
_chemical_formula_sum 'Pb8 Se4 I8'
_cell_length_a 12.1117
_cell_length_b 8.0823
_cell_length_c 8.4922
_cell_angle_alpha 90.00
_cell_angle_beta 104.18
_cell_angle_gamma 90.00
_space_group_name_H-M_alt 'P 1 21/c 1'
_space_group_IT_number 14
_space_group_name_Hall '-P 2ybc'
loop_
_atom_site_label
_atom_site_type_symbol
_atom_site_fract_x
_atom_site_fract_y
_atom_site_fract_z
Pb1 Pb 0.0181 0.0314 0.2488
Pb2 Pb 0.3214 0.5295 0.5900
Se1 Se 0.1062 0.7022 0.5393
I1 I 0.2139 0.1853 0.7465
I2 I 0.4485 0.7418 0.8978
```

Values from the calculation:
As for the distance to the lowest polymorph of the same formula: 0.8 kJ per mole of atoms.

***

# Pb6Se5I

An optimized crystal structure of Pb6Se5I (PBE, the Alexandria database).

```
data_Pb6Se5I
_chemical_formula_sum 'Pb12 Se10 I2'
_cell_length_a 7.8437
_cell_length_b 13.3866
_cell_length_c 7.6376
_cell_angle_alpha 90.00
_cell_angle_beta 109.41
_cell_angle_gamma 90.00
_space_group_name_H-M_alt 'C 1 2/m 1'
_space_group_IT_number 12
_space_group_name_Hall '-C 2y'
loop_
_atom_site_label
_atom_site_type_symbol
_atom_site_fract_x
_atom_site_fract_y
_atom_site_fract_z
Pb1 Pb 0.2251 0.0000 0.2579
Pb2 Pb 0.2307 0.1809 0.7364
Se1 Se 0.0000 0.0000 0.5000
Se2 Se 0.0000 0.1672 0.0000
Se3 Se 0.0000 0.3392 0.5000
I1 I 0.0000 0.5000 0.0000
```

Values from the calculation:
For the density of states at the Fermi level, the calculation gives 0.290 states/eV per atom.

***

# Pb2SeI4

An optimized crystal structure of Pb2SeI4 (PBE, the Alexandria database).

```
data_Pb2SeI4
_chemical_formula_sum 'Pb4 Se2 I8'
_cell_length_a 6.1071
_cell_length_b 6.1071
_cell_length_c 16.3621
_cell_angle_alpha 90.00
_cell_angle_beta 90.00
_cell_angle_gamma 90.00
_space_group_name_H-M_alt 'I 4/m m m'
_space_group_IT_number 139
_space_group_name_Hall '-I 4 2'
loop_
_atom_site_label
_atom_site_type_symbol
_atom_site_fract_x
_atom_site_fract_y
_atom_site_fract_z
Pb1 Pb 0.0000 0.0000 0.1070
Se1 Se 0.0000 0.0000 0.5000
I1 I 0.0000 0.0000 0.2829
I2 I 0.0000 0.5000 0.0000
```

Values from the calculation:
For the density of states at the Fermi level, the calculation gives 0.464 states/eV per atom.

***

# PbSe2I

An optimized crystal structure of PbSe2I (PBE, the Alexandria database).

```
data_PbSe2I
_chemical_formula_sum 'Pb3 Se6 I3'
_cell_length_a 3.8954
_cell_length_b 3.8954
_cell_length_c 29.0973
_cell_angle_alpha 90.00
_cell_angle_beta 90.00
_cell_angle_gamma 120.00
_space_group_name_H-M_alt 'R -3 m'
_space_group_IT_number 166
_space_group_name_Hall '-R 3 2"'
loop_
_atom_site_label
_atom_site_type_symbol
_atom_site_fract_x
_atom_site_fract_y
_atom_site_fract_z
Pb1 Pb 0.0000 0.0000 0.0000
Se1 Se 0.0000 0.0000 0.0953
I1 I 0.0000 0.0000 0.5000
```

Values from the calculation:
For the density of states at the Fermi level, the calculation gives 0.923 states/eV per atom. As for the distance to the lowest polymorph of the same formula: 57.0 kJ per mole of atoms.

***

# Pb4Se2I5

An optimized crystal structure of Pb4Se2I5 (PBE, the Alexandria database).

```
data_Pb4Se2I5
_chemical_formula_sum 'Pb4 Se2 I5'
_cell_length_a 4.5802
_cell_length_b 9.9563
_cell_length_c 11.5550
_cell_angle_alpha 80.47
_cell_angle_beta 89.99
_cell_angle_gamma 76.73
_space_group_name_H-M_alt 'P -1'
_space_group_IT_number 2
_space_group_name_Hall '-P 1'
loop_
_atom_site_label
_atom_site_type_symbol
_atom_site_fract_x
_atom_site_fract_y
_atom_site_fract_z
Pb1 Pb 0.0007 0.0015 0.2762
Pb2 Pb 0.3553 0.2911 0.9344
Se1 Se 0.4958 0.0108 0.1191
I1 I 0.1631 0.6733 0.2767
I2 I 0.1766 0.6455 0.8715
I3 I 0.5000 0.0000 0.5000
```

Values from the calculation:
For the density of states at the Fermi level, the calculation gives 0.059 states/eV per atom.

***

# Pb2Se2I

An optimized crystal structure of Pb2Se2I (PBE, the Alexandria database).

```
data_Pb2Se2I
_chemical_formula_sum 'Pb4 Se4 I2'
_cell_length_a 8.7376
_cell_length_b 8.7376
_cell_length_c 3.9180
_cell_angle_alpha 90.00
_cell_angle_beta 90.00
_cell_angle_gamma 90.00
_space_group_name_H-M_alt 'P 4/m b m'
_space_group_IT_number 127
_space_group_name_Hall '-P 4 2ab'
loop_
_atom_site_label
_atom_site_type_symbol
_atom_site_fract_x
_atom_site_fract_y
_atom_site_fract_z
Pb1 Pb 0.1502 0.3498 0.0000
Se1 Se 0.1381 0.6381 0.5000
I1 I 0.0000 0.0000 0.5000
```

Values from the calculation:
For the density of states at the Fermi level, the calculation gives 0.875 states/eV per atom. As for the distance to the lowest polymorph of the same formula: 15.8 kJ per mole of atoms.

***

# PbSe2I

An optimized crystal structure of PbSe2I (PBE, the Alexandria database).

```
data_PbSe2I
_chemical_formula_sum 'Pb4 Se8 I4'
_cell_length_a 7.8763
_cell_length_b 7.8763
_cell_length_c 8.6338
_cell_angle_alpha 90.00
_cell_angle_beta 90.00
_cell_angle_gamma 90.00
_space_group_name_H-M_alt 'I -4 2 d'
_space_group_IT_number 122
_space_group_name_Hall 'I -4 2bw'
loop_
_atom_site_label
_atom_site_type_symbol
_atom_site_fract_x
_atom_site_fract_y
_atom_site_fract_z
Pb1 Pb 0.0000 0.0000 0.0000
Se1 Se 0.2210 0.2500 0.1250
I1 I 0.0000 0.0000 0.5000
```

Values from the calculation:
For the density of states at the Fermi level, the calculation gives 1.344 states/eV per atom. As for the distance to the lowest polymorph of the same formula: 23.1 kJ per mole of atoms.

***

In eV/atom, the total energy values for the records above are, in order, -4.49 -3.13 -2.19 -3.36 -3.94 -2.54 -2.59 -3.21 -3.40 -2.94.
In meV per atom, the formation energy without anion corrections values for the records above are, in order, 415 -525 168 -563 -500 -100 466 -521 -214 114.